! MoPSeO2 (PBE with a Hubbard U, optimized geometry); values from VASP
! spin magnetization: 0.1868 μB/atom
! SG: No. 123
! E above lowest polymorph: 0.000 eV/atom
&SYSTEM
  ibrav = 0, nat = 5, ntyp = 4
/
ATOMIC_SPECIES
Mo 95.94 Mo.upf
P 30.97 P.upf
Se 78.96 Se.upf
O 16.00 O.upf
ATOMIC_POSITIONS crystal
Mo 0.000 0.000 0.000
P 0.000 0.000 0.500
Se 0.500 0.500 0.500
O 0.000 0.500 0.000
O 0.500 0.000 0.000
CELL_PARAMETERS angstrom
3.803 0.000 0.000
0.000 3.803 0.000
0.000 0.000 5.622